Record 1
Os2WAu | Alexandria via LeMat-Bulk | PBE | optimized geometry; total energy = -9.34 eV/atom; SG = Pmm2; calculated volume = 15.6 Å³/atom; relative energy among the computed polymorphs = 62 meV/atom
1.0
2.801 0.000 0.000
0.000 3.977 0.000
0.000 0.000 5.600
Os W Au
2 1 1
Direct
0.000 0.000 0.000 Os
0.500 0.500 0.216 Os
0.000 0.000 0.454 W
0.500 0.500 0.724 Au

***

Record 2
Os2WAu | Alexandria via LeMat-Bulk | PBE | optimized geometry; total energy = -9.20 eV/atom; SG = P4/mmm; calculated volume = 16.0 Å³/atom; relative energy among the computed polymorphs = 205 meV/atom
1.0
3.213 0.000 0.000
0.000 3.213 0.000
0.000 0.000 6.198
Os W Au
2 1 1
Direct
0.000 0.000 0.226 Os
0.000 0.000 0.774 Os
0.500 0.500 0.000 W
0.500 0.500 0.500 Au

***

Record 3
OsWAu2 | Alexandria via LeMat-Bulk | PBE | optimized geometry; total energy = -7.02 eV/atom; SG = F-43m; calculated volume = 16.6 Å³/atom; relative energy among the computed polymorphs = 444 meV/atom
1.0
6.428 0.000 0.000
0.000 6.428 0.000
0.000 0.000 6.428
Os W Au
4 4 8
Direct
0.000 0.000 0.000 Os
0.000 0.500 0.500 Os
0.500 0.000 0.500 Os
0.500 0.500 0.000 Os
0.250 0.250 0.750 W
0.250 0.750 0.250 W
0.750 0.250 0.250 W
0.750 0.750 0.750 W
0.000 0.000 0.500 Au
0.000 0.500 0.000 Au
0.250 0.250 0.250 Au
0.250 0.750 0.750 Au
0.500 0.000 0.000 Au
0.500 0.500 0.500 Au
0.750 0.250 0.750 Au
0.750 0.750 0.250 Au

***

Record 4
Os2W2Au | Alexandria via LeMat-Bulk | PBE | optimized geometry; total energy = -10.10 eV/atom; SG = P4/mbm; calculated volume = 16.5 Å³/atom
1.0
7.622 0.000 0.000
0.000 7.622 0.000
0.000 0.000 2.846
Os W Au
4 4 2
Direct
0.134 0.366 0.000 Os
0.366 0.866 0.000 Os
0.634 0.134 0.000 Os
0.866 0.634 0.000 Os
0.158 0.658 0.500 W
0.342 0.158 0.500 W
0.658 0.842 0.500 W
0.842 0.342 0.500 W
0.000 0.000 0.000 Au
0.500 0.500 0.000 Au

***

Record 5
Os2WAu | Alexandria via LeMat-Bulk | PBE | optimized geometry; total energy = -8.88 eV/atom; SG = F-43m; calculated volume = 15.8 Å³/atom; relative energy among the computed polymorphs = 519 meV/atom
1.0
6.323 0.000 0.000
0.000 6.323 0.000
0.000 0.000 6.323
Os W Au
8 4 4
Direct
0.000 0.000 0.000 Os
0.000 0.500 0.500 Os
0.250 0.250 0.250 Os
0.250 0.750 0.750 Os
0.500 0.000 0.500 Os
0.500 0.500 0.000 Os
0.750 0.250 0.750 Os
0.750 0.750 0.250 Os
0.000 0.000 0.500 W
0.000 0.500 0.000 W
0.500 0.000 0.000 W
0.500 0.500 0.500 W
0.250 0.250 0.750 Au
0.250 0.750 0.250 Au
0.750 0.250 0.250 Au
0.750 0.750 0.750 Au

***

Record 6
OsWAu2 | Alexandria via LeMat-Bulk | PBE | optimized geometry; total energy = -7.08 eV/atom; SG = P4/mmm; calculated volume = 16.4 Å³/atom; relative energy among the computed polymorphs = 392 meV/atom
1.0
3.892 0.000 0.000
0.000 3.892 0.000
0.000 0.000 4.322
Os W Au
1 1 2
Direct
0.000 0.000 0.000 Os
0.500 0.500 0.000 W
0.000 0.500 0.500 Au
0.500 0.000 0.500 Au

***

Record 7
OsWAu2 | Alexandria via LeMat-Bulk | PBE | optimized geometry; total energy = -7.14 eV/atom; SG = R-3m; calculated volume = 16.4 Å³/atom; relative energy among the computed polymorphs = 325 meV/atom
1.0
2.826 0.000 0.000
-1.413 2.447 0.000
0.000 0.000 28.394
Os W Au
3 3 6
Direct
0.000 0.000 0.000 Os
0.333 0.667 0.667 Os
0.667 0.333 0.333 Os
0.000 0.000 0.500 W
0.333 0.667 0.167 W
0.667 0.333 0.833 W
0.000 0.000 0.250 Au
0.000 0.000 0.750 Au
0.333 0.667 0.417 Au
0.333 0.667 0.917 Au
0.667 0.333 0.083 Au
0.667 0.333 0.583 Au

***

Record 8
Os2WAu | Alexandria via LeMat-Bulk | PBE | optimized geometry; total energy = -9.18 eV/atom; SG = Cmmm; calculated volume = 16.0 Å³/atom; relative energy among the computed polymorphs = 226 meV/atom
1.0
2.918 0.000 0.000
0.000 4.632 0.000
0.000 0.000 9.480
Os W Au
4 2 2
Direct
0.000 0.000 0.233 Os
0.000 0.000 0.767 Os
0.500 0.500 0.233 Os
0.500 0.500 0.767 Os
0.000 0.500 0.000 W
0.500 0.000 0.000 W
0.000 0.500 0.500 Au
0.500 0.000 0.500 Au

***

Computed values of ΔE_f (unit: kJ/mol of atoms) for the preceding records, in sequence: 32.1, 45.8, 63.8, 22.3, 76.1, 58.7, 52.2, 47.8.